--- a ---
Below is a geometry-optimized CeSnSbAu structure, with properties calculated at the PBE-GGA level.

Output
Fermi-level density of states ... 1.12 states/eV per atom

a b c (Å): 4.391 4.518 4.938
angles (deg): 90.00 90.00 90.00
Space group Pmmm (No. 47)
Asymmetric unit:
Ce 0.000 0.000 0.000
Sn 0.500 0.000 0.500
Sb 0.500 0.500 0.000
Au 0.000 0.500 0.500

=====

--- b ---
Below is a geometry-optimized CeSnSbAu structure, with properties calculated at the PBE-GGA level.

Output
Fermi-level density of states ... 1.41 states/eV per atom

a b c (Å): 7.440 7.440 7.440
angles (deg): 90.00 90.00 90.00
Space group F-43m (No. 216)
Asymmetric unit:
Ce 0.000 0.000 0.000
Sn 0.000 0.000 0.500
Sb 0.250 0.250 0.750
Au 0.250 0.250 0.250

=====

Energies relative to the most stable structure are a 0; b 149, reported in meV/atom.

=====

--- a ---
Below is a geometry-optimized CeScZnAu structure, with properties calculated at the PBE-GGA level.

Output
Fermi-level density of states ... 1.75 states/eV per atom

a b c (Å): 7.091 7.091 7.091
angles (deg): 90.00 90.00 90.00
Space group F-43m (No. 216)
Asymmetric unit:
Ce 0.000 0.000 0.000
Sc 0.000 0.000 0.500
Zn 0.250 0.250 0.250
Au 0.250 0.250 0.750

=====

--- b ---
Below is a geometry-optimized CeScZnAu structure, with properties calculated at the PBE-GGA level.

Output
Fermi-level density of states ... 1.85 states/eV per atom

a b c (Å): 3.426 3.426 7.365
angles (deg): 90.00 90.00 90.00
Space group P4mm (No. 99)
Asymmetric unit:
Ce 0.000 0.000 0.000
Sc 0.000 0.000 0.493
Zn 0.500 0.500 0.277
Au 0.500 0.500 0.701

=====

Energies relative to the most stable structure are a 58; b 0, reported in meV/atom.

=====

--- a ---
Below is a geometry-optimized Ce2Si3Au5 structure, with properties calculated at the PBE-GGA level.

Output
Fermi-level density of states ... 1.72 states/eV per atom

a b c (Å): 4.342 4.342 10.829
angles (deg): 90.00 90.00 90.00
Space group P-4m2 (No. 115)
Asymmetric unit:
Ce 0.000 0.500 0.240
Si 0.000 0.000 0.000
Si 0.000 0.500 0.883
Au 0.000 0.000 0.500
Au 0.000 0.500 0.665
Au 0.500 0.500 0.000
Au 0.500 0.500 0.500

=====

--- b ---
Below is a geometry-optimized Ce2Si3Au5 structure, with properties calculated at the PBE-GGA level.

Output
Fermi-level density of states ... 1.28 states/eV per atom

a b c (Å): 10.114 12.817 6.219
angles (deg): 90.00 90.00 90.00
Space group Ibam (No. 72)
Asymmetric unit:
Ce 0.240 0.128 0.000
Si 0.000 0.000 0.250
Si 0.137 0.380 0.000
Au 0.000 0.269 0.250
Au 0.000 0.500 0.250
Au 0.126 0.115 0.500

=====

Energies relative to the most stable structure are a 144; b 0, reported in meV/atom.